[1]
Material: ScTlNi2
Method: DFT, PBE
State: relaxed

Cell: 4.3062 4.3062 3.5142 Å, 90.00 90.00 90.00°
Fractional positions:
Sc: 0.0000 0.0000 0.0000
Tl: 0.5000 0.5000 0.0000
Ni: 0.0000 0.5000 0.5000
Ni: 0.5000 0.0000 0.5000

Output
Its space-group type is P4/mmm. The calculation puts the total energy at -20.79 eV/cell. The calculation puts the calculated density at 9345 kg/m3. For the formation energy, the calculation gives -133 meV/atom.


[2]
Material: NaLiGe2S
Method: DFT, PBE
State: relaxed

Cell: 5.1358 5.1358 4.9496 Å, 90.00 90.00 90.00°
Fractional positions:
Na: 0.0000 0.0000 0.0000
Li: 0.5000 0.5000 0.5000
Ge: 0.0000 0.5000 0.0000
Ge: 0.5000 0.0000 0.0000
S: 0.0000 0.0000 0.5000

Output
Its space-group type is P4/mmm. The calculation puts the total energy at -13.50 eV/cell. The calculation puts the calculated density at 2636 kg/m3.


[3]
Material: SmHoOsO6
Method: DFT, PBE
State: relaxed

Cell: 5.5023 5.5023 9.7750 Å, 90.00 90.00 120.00°
Fractional positions:
Sm: 0.0000 0.0000 0.0000
Sm: 0.0000 0.0000 0.5000
Ho: 0.3333 0.6667 0.2500
Ho: 0.6667 0.3333 0.7500
Os: 0.3333 0.6667 0.7500
Os: 0.6667 0.3333 0.2500
O: 0.0415 0.3738 0.6375
O: 0.0415 0.6677 0.8625
O: 0.3323 0.3738 0.8625
O: 0.3323 0.9585 0.6375
O: 0.3738 0.0415 0.1375
O: 0.3738 0.3323 0.3625
O: 0.6262 0.6677 0.6375
O: 0.6262 0.9585 0.8625
O: 0.6677 0.0415 0.3625
O: 0.6677 0.6262 0.1375
O: 0.9585 0.3323 0.1375
O: 0.9585 0.6262 0.3625

Output
Its space-group type is P-31c. The calculation puts the total energy at -143.06 eV/cell. The calculation puts the calculated density at 7794 kg/m3.